1.
## CdHg2F2 (PBE)

Data for crystalline CdHg2F2 at its relaxed geometry.

Computed properties:
Distance to the lowest polymorph of the same formula, meV/atom: 405
Crystal system: tetragonal
Space group: I4/mmm
DOS(E_F), states/eV/atom: 0.2237

abc: 7.8514 7.8514 7.8514
angles: 152.07 152.07 39.92
Fractional positions:
Cd1 0.0000 0.0000 0.0000
Hg1 0.2500 0.7500 0.5000
Hg2 0.7500 0.2500 0.5000
F1 0.4129 0.4129 0.0000
F2 0.5871 0.5871 0.0000

---

2.
## Cd2HgF2 (PBE)

Data for crystalline Cd2HgF2 at its relaxed geometry.

Computed properties:
Distance to the lowest polymorph of the same formula, meV/atom: 0
Crystal system: tetragonal
Space group: I4/mmm
DOS(E_F), states/eV/atom: 0.1615

abc: 6.2001 6.2001 6.2001
angles: 141.24 141.24 55.98
Fractional positions:
Cd1 0.1314 0.1314 0.0000
Cd2 0.8686 0.8686 0.0000
Hg1 0.5000 0.5000 0.0000
F1 0.2500 0.7500 0.5000
F2 0.7500 0.2500 0.5000

---

3.
## CdHgF (PBE)

Data for crystalline CdHgF at its relaxed geometry.

Computed properties:
Distance to the lowest polymorph of the same formula, meV/atom: 18
Crystal system: orthorhombic
Space group: Immm
DOS(E_F), states/eV/atom: 0.2780

abc: 7.7386 7.7386 7.7386
angles: 150.22 146.92 45.10
Fractional positions:
Cd1 0.1632 0.1632 0.0000
Cd2 0.8368 0.8368 0.0000
Hg1 0.0000 0.5000 0.5000
Hg2 0.5000 0.0000 0.5000
F1 0.2568 0.7568 0.5000
F2 0.7432 0.2432 0.5000

---

4.
## CdHg3F8 (PBE)

Data for crystalline CdHg3F8 at its relaxed geometry.

Computed properties:
Crystal system: cubic
Space group: Pm-3m

abc: 5.6078 5.6078 5.6078
angles: 90.00 90.00 90.00
Fractional positions:
Cd1 0.0000 0.0000 0.0000
Hg1 0.0000 0.5000 0.5000
Hg2 0.5000 0.0000 0.5000
Hg3 0.5000 0.5000 0.0000
F1 0.2460 0.2460 0.2460
F2 0.2460 0.2460 0.7540
F3 0.2460 0.7540 0.2460
F4 0.2460 0.7540 0.7540
F5 0.7540 0.2460 0.2460
F6 0.7540 0.2460 0.7540
F7 0.7540 0.7540 0.2460
F8 0.7540 0.7540 0.7540

---

5.
## CdInHgF6 (PBE)

Data for crystalline CdInHgF6 at its relaxed geometry.

Computed properties:
Crystal system: trigonal
Space group: P-31c
DOS(E_F), states/eV/atom: 0.2447

abc: 5.9587 5.9587 9.6212
angles: 90.00 90.00 120.00
Fractional positions:
Cd1 0.0000 0.0000 0.0000
Cd2 0.0000 0.0000 0.5000
In1 0.3333 0.6667 0.2500
In2 0.6667 0.3333 0.7500
Hg1 0.3333 0.6667 0.7500
Hg2 0.6667 0.3333 0.2500
F1 0.0575 0.3536 0.1250
F2 0.0575 0.7038 0.3750
F3 0.2962 0.3536 0.3750
F4 0.2962 0.9425 0.1250
F5 0.3536 0.0575 0.6250
F6 0.3536 0.2962 0.8750
F7 0.6464 0.7038 0.1250
F8 0.6464 0.9425 0.3750
F9 0.7038 0.0575 0.8750
F10 0.7038 0.6464 0.6250
F11 0.9425 0.2962 0.6250
F12 0.9425 0.6464 0.8750

---

6.
## CdInHg2F (PBE)

Data for crystalline CdInHg2F at its relaxed geometry.

Computed properties:
Crystal system: tetragonal
Space group: P4/mmm
DOS(E_F), states/eV/atom: 0.4870

abc: 5.7883 5.7883 4.4908
angles: 90.00 90.00 90.00
Fractional positions:
Cd1 0.0000 0.0000 0.0000
In1 0.5000 0.5000 0.5000
Hg1 0.0000 0.5000 0.5000
Hg2 0.5000 0.0000 0.5000
F1 0.5000 0.5000 0.0000

---

7.
## CdInHgF (PBE)

Data for crystalline CdInHgF at its relaxed geometry.

Computed properties:
Crystal system: cubic
Space group: F-43m
DOS(E_F), states/eV/atom: 0.1879

abc: 4.9807 4.9807 4.9807
angles: 60.00 60.00 60.00
Fractional positions:
Cd1 0.0000 0.0000 0.0000
In1 0.5000 0.5000 0.5000
Hg1 0.2500 0.2500 0.2500
F1 0.7500 0.7500 0.7500

---

8.
## CdHgIrF2 (PBE)

Data for crystalline CdHgIrF2 at its relaxed geometry.

Computed properties:
Crystal system: tetragonal
Space group: P4/mmm
DOS(E_F), states/eV/atom: 0.7545

abc: 4.1719 4.1719 5.5137
angles: 90.00 90.00 90.00
Fractional positions:
Cd1 0.0000 0.0000 0.0000
Hg1 0.5000 0.5000 0.0000
Ir1 0.0000 0.0000 0.5000
F1 0.0000 0.5000 0.5000
F2 0.5000 0.0000 0.5000

---

no.,formation energy (no corrections) (kJ/mol of atoms)
1,-66
2,-121
3,-99
4,-156
5,-192
6,-48
7,-60
8,-43